[1]
Below is LaH3Ir after structural relaxation, with properties calculated at the GGA-PBE level.

Unit cell a=4.1836 b=4.1836 c=4.1836 alpha=90.00 beta=90.00 gamma=90.00
Closest atoms and distances in Å follow each position.
Positions (direct):
Ir1 0.5000 0.5000 0.5000  12 H 2.96
La1 0.0000 0.0000 0.0000  6 H 2.09
H1 0.0000 0.0000 0.5000  2 La 2.09
H2 0.5000 0.0000 0.0000  2 La 2.09
H3 0.0000 0.5000 0.0000  2 La 2.09

Calculated values
Final energy = -3.95 eV per atom

=====

[2]
Below is ReTcAs4 after structural relaxation, with properties calculated at the GGA-PBE level.

Unit cell a=6.9437 b=6.9437 c=6.9437 alpha=102.00 beta=102.00 gamma=125.74
Closest atoms and distances in Å follow each position.
Positions (direct):
Tc1 0.5025 0.0025 0.5000  6 As 2.46-2.48
Tc2 0.7525 0.7525 0.0000  6 As 2.46-2.48
As1 0.7175 0.5000 0.2174  2 Re 2.47-2.48, 1 Tc 2.48
As2 0.7813 0.0000 0.7812  2 Tc 2.46-2.47, 1 Re 2.47
As3 0.2188 0.0000 0.2188  2 Tc 2.46-2.47, 1 Re 2.47
As4 0.2500 0.5326 0.2826  2 Re 2.47-2.48, 1 Tc 2.48
As5 0.2826 0.5000 0.7826  2 Re 2.47-2.48, 1 Tc 2.48
As6 0.7500 0.4688 0.7188  2 Tc 2.46-2.47, 1 Re 2.47
As7 0.2500 0.9675 0.7174  2 Re 2.47-2.48, 1 Tc 2.48
As8 0.7500 0.0313 0.2812  2 Tc 2.46-2.47, 1 Re 2.47
Re1 0.2473 0.2473 0.0000  6 As 2.47-2.48
Re2 0.9973 0.4973 0.5000  6 As 2.47-2.48

Calculated values
ΔE to the lowest computed polymorph = 0.000 eV/f.u.
ΔE_f = 59.2 meV per atom

=====

[3]
Below is Li7SnPb4 after structural relaxation, with properties calculated at the GGA-PBE level.

Unit cell a=5.1299 b=8.5741 c=7.1625 alpha=79.60 beta=69.02 gamma=72.59
Closest atoms and distances in Å follow each position.
Positions (direct):
Li1 0.3536 0.5817 0.7111  5 Pb 2.81-3.14
Li2 0.2155 0.1310 0.4379  4 Pb 2.86-2.99, 1 Li 2.99
Li3 0.5000 0.0000 0.0000  2 Sn 2.56, 2 Pb 2.82
Li4 0.9381 0.3367 0.7871  5 Pb 2.86-3.16, 1 Li 2.99, 1 Sn 2.99
Li5 0.0619 0.6633 0.2129  5 Pb 2.86-3.16, 1 Li 2.99, 1 Sn 2.99
Li6 0.6464 0.4183 0.2889  5 Pb 2.81-3.14
Li7 0.7845 0.8690 0.5621  4 Pb 2.86-2.99, 1 Li 2.99
Pb1 0.2959 0.3463 0.0620  8 Li 2.86-3.16, 1 Pb 3.12
Pb2 0.5758 0.2065 0.6418  8 Li 2.81-3.14, 1 Pb 3.12
Pb3 0.7041 0.6537 0.9380  8 Li 2.86-3.16, 1 Pb 3.12
Pb4 0.4242 0.7935 0.3582  8 Li 2.81-3.14, 1 Pb 3.12
Sn1 0.0000 0.0000 0.0000  2 Li 2.56

Calculated values
ΔE_f = -151.8 meV per atom

=====

[4]
Below is BaLiSb3 after structural relaxation, with properties calculated at the GGA-PBE level.

Unit cell a=6.3041 b=6.3041 c=6.3041 alpha=90.00 beta=90.00 gamma=90.00
Closest atoms and distances in Å follow each position.
Positions (direct):
Sb1 0.0000 0.5000 0.0000  2 Ba 3.15
Sb2 0.0000 0.0000 0.5000  2 Ba 3.15
Sb3 0.5000 0.0000 0.0000  2 Ba 3.15
Ba1 0.0000 0.0000 0.0000  6 Sb 3.15
Li1 0.5000 0.5000 0.5000  12 Sb 4.46

Calculated values
ΔE to the lowest computed polymorph = 5.071 eV/f.u.
Energy relative to the elements, uncorrected = 0.67 eV/atom

=====

[5]
Below is CeInGa2Br6 after structural relaxation, with properties calculated at the GGA-PBE level.

Unit cell a=7.6281 b=8.7275 c=11.2435 alpha=90.00 beta=87.96 gamma=90.00
Closest atoms and distances in Å follow each position.
Positions (direct):
Br1 0.3297 0.6627 0.0384  1 Ce 2.93, 2 Ga 3.05-3.09, 1 In 3.24
Br2 0.1717 0.2331 0.1019  1 Ce 2.93, 1 Ga 3.14
Br3 0.8482 0.5863 0.2333  1 Ce 2.93, 2 Ga 3.15-3.24
Br4 0.6518 0.0863 0.2667  1 Ce 2.93, 2 Ga 3.15-3.24
Br5 0.1518 0.4137 0.7667  1 Ce 2.93, 2 Ga 3.15-3.24
Br6 0.1703 0.1627 0.4616  1 Ce 2.93, 2 Ga 3.05-3.09, 1 In 3.24
Br7 0.8297 0.8373 0.5384  1 Ce 2.93, 2 Ga 3.05-3.09, 1 In 3.24
Br8 0.3482 0.9137 0.7333  1 Ce 2.93, 2 Ga 3.15-3.24
Br9 0.8283 0.7669 0.8981  1 Ce 2.93, 1 Ga 3.14
Br10 0.3283 0.7331 0.3981  1 Ce 2.93, 1 Ga 3.14
Br11 0.6717 0.2669 0.6019  1 Ce 2.93, 1 Ga 3.14
Br12 0.6703 0.3373 0.9616  1 Ce 2.93, 2 Ga 3.05-3.09, 1 In 3.24
Ga1 0.5107 0.5832 0.8002  5 Br 3.05-3.24
Ga2 0.4893 0.4168 0.1998  5 Br 3.05-3.24
Ga3 0.0107 0.9168 0.3002  5 Br 3.05-3.24
Ga4 0.9893 0.0832 0.6998  5 Br 3.05-3.24
Ce1 0.0000 0.5000 0.0000  6 Br 2.93
Ce2 0.5000 0.0000 0.5000  6 Br 2.93
In1 0.5000 0.0000 0.0000  6 Br 3.24-3.39
In2 0.0000 0.5000 0.5000  6 Br 3.24-3.39

Calculated values
Energy relative to the elements, uncorrected = -1.06 eV/atom

=====

[6]
Below is Pm2MgGe4Pd3 after structural relaxation, with properties calculated at the GGA-PBE level.

Unit cell a=4.2295 b=4.2295 c=10.9940 alpha=90.00 beta=90.00 gamma=90.00
Closest atoms and distances in Å follow each position.
Positions (direct):
Pd1 0.0000 0.5000 0.1279  5 Ge 2.47-2.54
Pd2 0.5000 0.0000 0.8721  5 Ge 2.47-2.54
Pd3 0.0000 0.0000 0.5000  4 Ge 2.66
Pm1 0.5000 0.0000 0.2448  8 Ge 3.22-3.42, 6 Pd 3.26-3.51, 2 Mg 3.51
Pm2 0.0000 0.5000 0.7552  8 Ge 3.22-3.42, 6 Pd 3.26-3.51, 2 Mg 3.51
Ge1 0.0000 0.5000 0.3525  3 Pd 2.47-2.66, 2 Mg 2.66
Ge2 0.5000 0.0000 0.6475  3 Pd 2.47-2.66, 2 Mg 2.66
Ge3 0.5000 0.5000 0.0000  4 Pd 2.54
Ge4 0.0000 0.0000 0.0000  4 Pd 2.54
Mg1 0.5000 0.5000 0.5000  4 Ge 2.66

Calculated values
ΔE_f = -761.0 meV per atom

=====

[7]
Below is TlCuHg2 after structural relaxation, with properties calculated at the GGA-PBE level.

Unit cell a=3.3817 b=3.2224 c=8.5260 alpha=90.00 beta=90.00 gamma=90.00
Closest atoms and distances in Å follow each position.
Positions (direct):
Hg1 0.5000 0.5000 0.2348  8 Hg 3.22-3.38, 4 Tl 3.54
Hg2 0.0000 0.0000 0.9490  4 Cu 2.79
Cu1 0.5000 0.5000 0.7696  4 Hg 2.79, 4 Tl 3.01
Tl1 0.0000 0.0000 0.5465  4 Cu 3.01, 2 Tl 3.22

Calculated values
ΔE_f = 172.6 meV per atom

=====

[8]
Below is SrTlAg after structural relaxation, with properties calculated at the GGA-PBE level.

Unit cell a=5.0351 b=5.0351 c=4.0125 alpha=90.00 beta=90.00 gamma=120.00
Closest atoms and distances in Å follow each position.
Positions (direct):
Ag1 0.0000 0.0000 0.8336  3 Tl 2.91
Sr1 0.6667 0.3333 0.3330  6 Ag 3.53, 6 Tl 3.53
Tl1 0.3333 0.6667 0.8334  3 Ag 2.91

Calculated values
ΔE_f = -313.7 meV per atom

=====

no.,density (Mg/m³),magnetization (μB per formula unit)
1,7.6,1.4
2,8.0,0.0
3,5.9,0.0
4,3.4,0.0
5,3.9,1.0
6,7.8,0.0
7,12.0,0.0
8,7.5,0.0